No. 1
The following is a PBE-GGA calculation of crystalline Li2Tl2Pb at its relaxed geometry, from Alexandria via LeMat-Bulk.

POSCAR file:
```
Li2Tl2Pb
1.0
8.389 0.000 0.000
0.000 8.389 0.000
0.000 0.000 3.454
Pb Tl Li
2 4 4
Cartesian
0.000 0.000 0.000
4.194 4.194 0.000
3.088 7.282 0.000
7.282 5.300 0.000
5.300 1.106 0.000
1.106 3.088 0.000
1.413 5.607 1.727
5.607 6.976 1.727
6.976 2.781 1.727
2.781 1.413 1.727
```

## Properties
E_form = -0.127 eV/atom
Offset from the most stable computed form = 0.0275 eV/atom

No. 2
The following is a PBE-GGA calculation of crystalline KSn8Hg2 at its relaxed geometry, from Alexandria via LeMat-Bulk.

POSCAR file:
```
KSn8Hg2
1.0
-3.898 4.162 -4.363
4.674 -2.126 -0.515
-9.165 -10.037 -0.945
K Sn Hg
1 8 2
Cartesian
0.000 0.000 0.000
-0.967 -1.478 -3.701
-9.471 -4.433 -4.431
-1.949 -3.853 -1.922
-6.440 -4.149 -3.900
1.082 -3.569 -1.392
-7.422 -6.523 -2.121
-5.762 -8.877 -3.134
-2.628 0.876 -2.689
-4.226 -5.901 -1.642
-4.164 -2.100 -4.181
```

## Properties
E_form = -0.024 eV/atom

No. 3
The following is a PBE-GGA calculation of crystalline CaSi2Au at its relaxed geometry, from Alexandria via LeMat-Bulk.

POSCAR file:
```
CaSi2Au
1.0
0.000 3.379 3.379
3.379 0.000 3.379
3.379 3.379 0.000
Ca Au Si
1 1 2
Cartesian
0.000 0.000 0.000
3.379 3.379 3.379
1.690 1.690 1.690
5.069 5.069 5.069
```

## Properties
Formation energy without anion corrections = 1.42 kcal/mol of atoms

Number 1: ρ 8.607 g/cm³. Number 2: ρ 6.788 g/cm³. Number 3: ρ 6.307 g/cm³.